Record 1
# CeNd2SmCo2

A geometry-optimized CeNd2SmCo2 structure (PBE, the Alexandria database).

```
12
Lattice="-3.4849 6.4141 3.3876 3.4849 -6.4141 3.3876 3.4849 6.4141 -3.3876" Properties=species:S:1:pos:R:3 pbc="T T T"
Ce 0.0000 0.0000 1.6938
Ce 0.0000 0.0000 5.0814
Nd 1.4339 2.5772 0.0000
Nd 1.4339 -2.5772 3.3876
Nd 2.0510 8.9913 0.0000
Nd 2.0510 3.8369 3.3876
Sm 3.4849 0.0000 1.6938
Sm 0.0000 6.4141 1.6938
Co 5.4967 1.1644 0.0000
Co 2.0118 5.2497 0.0000
Co 1.4731 1.1644 3.3876
Co -2.0118 5.2497 3.3876
```

Output
- ΔH_f (0 K): -87 meV per atom



Record 2
# LaScSn2

A geometry-optimized LaScSn2 structure (PBE, the Alexandria database).

```
12
Lattice="4.8831 0.0000 0.0000 -2.4415 4.2289 0.0000 0.0000 0.0000 16.5956" Properties=species:S:1:pos:R:3 pbc="T T T"
La 0.0000 0.0000 0.0000
La 0.0000 2.8192 11.0637
La 2.4415 1.4096 5.5319
Sc 0.0000 0.0000 8.2978
Sc 0.0000 2.8192 2.7659
Sc 2.4415 1.4096 13.8297
Sn 0.0000 0.0000 3.8593
Sn 0.0000 0.0000 12.7364
Sn 0.0000 2.8192 7.2045
Sn 0.0000 2.8192 14.9230
Sn 2.4415 1.4096 1.6726
Sn 2.4415 1.4096 9.3911
```

Output
- ΔH_f (0 K): -620 meV per atom



Record 3
# FeSiP2

A geometry-optimized FeSiP2 structure (PBE, the Alexandria database).

```
8
Lattice="4.0932 0.0000 0.0000 0.0000 3.9444 0.0000 0.0000 0.0000 7.1166" Properties=species:S:1:pos:R:3 pbc="T T T"
Fe 0.0000 0.0000 0.0000
Fe 0.0000 1.9722 3.5583
Si 2.0466 0.0000 5.9533
Si 2.0466 1.9722 2.3950
P 0.0000 0.0000 4.6126
P 0.0000 1.9722 1.0543
P 2.0466 0.0000 1.1698
P 2.0466 1.9722 4.7281
```

Output
- Energy relative to the elements, uncorrected: -0.240 eV/f.u.



Record 4
# PaSb12Os4

A geometry-optimized PaSb12Os4 structure (PBE, the Alexandria database).

```
17
Lattice="-4.6944 4.6944 4.6944 4.6944 -4.6944 4.6944 4.6944 4.6944 -4.6944" Properties=species:S:1:pos:R:3 pbc="T T T"
Pa 0.0000 0.0000 0.0000
Sb 3.1673 1.4669 0.0000
Sb 6.2215 1.4669 0.0000
Sb 4.6944 -1.5271 3.2274
Sb 3.2274 4.6944 -1.5271
Sb 1.4669 0.0000 3.1673
Sb 0.0000 3.1673 1.4669
Sb 4.6944 1.5271 3.2274
Sb 3.2274 4.6944 1.5271
Sb 1.4669 0.0000 6.2215
Sb 0.0000 6.2215 1.4669
Sb -1.5271 3.2274 4.6944
Sb 1.5271 3.2274 4.6944
Os 2.3472 2.3472 -2.3472
Os 2.3472 -2.3472 2.3472
Os -2.3472 2.3472 2.3472
Os 2.3472 2.3472 2.3472
```

Output
- Energy relative to the elements, uncorrected: -1.479 eV/f.u.



Record 5
# LaMgIn2Bi

A geometry-optimized LaMgIn2Bi structure (PBE, the Alexandria database).

```
5
Lattice="6.2084 0.0000 0.0000 0.0000 6.2084 0.0000 0.0000 0.0000 6.1259" Properties=species:S:1:pos:R:3 pbc="T T T"
La 0.0000 0.0000 0.0000
Mg 3.1042 3.1042 3.0630
In 0.0000 3.1042 0.0000
In 3.1042 0.0000 0.0000
Bi 0.0000 0.0000 3.0630
```

Output
- ΔH_f (0 K): 557 meV per atom



Record 6
# Mn2CdSb

A geometry-optimized Mn2CdSb structure (PBE, the Alexandria database).

```
4
Lattice="4.2860 0.0000 0.0000 0.0000 4.2860 0.0000 0.0000 0.0000 3.9757" Properties=species:S:1:pos:R:3 pbc="T T T"
Mn 0.0000 2.1430 0.0000
Mn 2.1430 0.0000 0.0000
Cd 0.0000 0.0000 1.9878
Sb 2.1430 2.1430 1.9878
```

Output
- Energy relative to the lowest polymorph listed for this composition: 0.00 kJ per mole of atoms
- Energy relative to the elements, uncorrected: 1.010 eV/f.u.



Record 7
# TiPb

A geometry-optimized TiPb structure (PBE, the Alexandria database).

```
8
Lattice="11.3224 0.0000 0.0000 0.0000 3.1162 0.0000 -1.1394 0.0000 4.9791" Properties=species:S:1:pos:R:3 pbc="T T T"
Ti 1.2474 0.0000 1.8677
Ti 3.2744 1.5581 3.1114
Ti 6.9086 1.5581 1.8677
Ti 8.9356 0.0000 3.1114
Pb 0.3080 1.5581 4.2040
Pb 4.2138 0.0000 0.7751
Pb 5.9692 0.0000 4.2040
Pb 9.8750 1.5581 0.7751
```

Output
- ΔH_f (0 K): 117 meV per atom



Record 8
# CsK2MgBr5

A geometry-optimized CsK2MgBr5 structure (PBE, the Alexandria database).

```
9
Lattice="-2.6605 3.9643 7.7957 2.6605 -3.9643 7.7957 2.6605 3.9643 -7.7957" Properties=species:S:1:pos:R:3 pbc="T T T"
Cs 0.0000 0.0000 0.0000
K 2.6605 0.0000 4.5525
K 0.0000 3.9643 3.2432
Mg 0.0000 0.0000 7.7957
Br 2.6605 2.0792 -1.9710
Br 2.6605 2.0792 1.9710
Br 0.0000 3.9643 0.0000
Br 0.0000 1.8851 5.8248
Br 0.0000 1.8851 9.7667
```

Output
- Energy relative to the elements, uncorrected: -15.006 eV/f.u.



Calculated values (μB per formula unit) of total magnetization for the records, taken in order: 0.0, 0.0, 0.0, 1.0, 0.0, 7.2, 0.0, 0.0.